1.
## Ba2LiZr (PBE)

Data for a relaxed Ba2LiZr crystal.

```
Ba2LiZr
1.0
-1.892 3.049 6.340
1.892 -3.049 6.340
1.892 3.049 -6.340
Ba Li Zr
2 1 1
Cartesian
0.000 0.000 0.000
0.000 3.049 2.681
1.892 0.000 3.246
0.000 0.000 5.629
```

Output
energy of formation = 1.93 eV per formula unit
D(E_F) = 1.46 states/eV/atom
total magnetic moment = 0.3304 μB/atom
V = 36.58 Å³ per atom
density = 4231 kg/m3
energy above the most stable polymorph in this dataset = 0.0614 eV/atom

2.
## Ba2LiZr (PBE)

Data for a relaxed Ba2LiZr crystal.

```
Ba2LiZr
1.0
4.574 0.000 0.000
0.000 5.460 0.000
0.000 0.000 6.019
Ba Li Zr
2 1 1
Cartesian
0.000 0.000 0.000
2.287 0.000 3.010
0.000 2.730 3.010
2.287 2.730 0.000
```

Output
energy of formation = 2.57 eV per formula unit
D(E_F) = 1.40 states/eV/atom
total magnetic moment = 0.4252 μB/atom
V = 37.58 Å³ per atom
density = 4118 kg/m3
energy above the most stable polymorph in this dataset = 0.2206 eV/atom

3.
## Ba2LiZr (PBE)

Data for a relaxed Ba2LiZr crystal.

```
Ba2LiZr
1.0
1.875 1.082 12.022
-1.875 1.082 12.022
0.000 -2.165 12.022
Ba Li Zr
2 1 1
Cartesian
0.000 0.000 8.898
0.000 0.000 27.169
0.000 0.000 0.000
0.000 0.000 18.033
```

Output
energy of formation = 1.89 eV per formula unit
D(E_F) = 1.38 states/eV/atom
total magnetic moment = 0.0001 μB/atom
V = 36.60 Å³ per atom
density = 4229 kg/m3
energy above the most stable polymorph in this dataset = 0.0507 eV/atom